Entry 1:
80
Lattice="15.793 0.000 0.000 -5.264 14.890 0.000 -5.264 -7.445 12.895" Properties=species:S:1:pos:R:3 comment="Sm3Sb5Te12, optimized geometry, DFT GGA-PBE" formation_energy_uncorrected_ev_per_fu=-8.90 total_magnetization_mub_per_cell=0.00 dos_ef_per_ev_atom=0.19 pbc="T T T"
Sm 9.212 4.653 1.612
Sm 9.212 10.237 1.612
Sm -1.316 6.514 8.059
Sm 1.316 -0.931 4.836
Sm 11.845 0.000 3.224
Sm 1.316 7.445 3.224
Sm 3.948 0.000 9.671
Sm -6.580 7.445 9.671
Sm 3.948 8.375 8.059
Sm 6.580 0.931 4.836
Sm -3.948 -2.792 11.283
Sm -3.948 2.792 11.283
Sb -1.316 3.722 3.224
Sb -2.632 7.445 0.000
Sb 0.000 0.000 0.000
Sb 3.948 2.792 1.612
Sb 5.264 -3.722 6.447
Sb 5.264 7.445 0.000
Sb -3.948 8.375 4.836
Sb 6.580 -4.653 11.283
Sb 6.580 6.514 4.836
Sb 1.316 -3.722 9.671
Sb 3.948 11.167 3.224
Sb 2.632 3.722 6.447
Sb 7.896 0.000 0.000
Sb -2.632 -3.722 6.447
Sb -1.316 0.931 8.059
Sb -1.316 12.098 1.612
Sb -5.264 3.722 6.447
Sb 9.212 -0.931 8.059
Sb 1.316 4.653 11.283
Sb 6.580 3.722 9.671
Te 10.381 1.671 0.688
Te 0.148 5.154 5.345
Te 11.582 3.303 3.593
Te 6.843 2.262 1.791
Te 1.885 5.768 8.614
Te 10.983 7.467 2.167
Te -1.054 8.485 5.384
Te -4.211 12.627 1.791
Te 0.747 9.122 8.614
Te 7.442 7.422 2.167
Te 8.044 3.962 4.657
Te 8.044 13.219 0.688
Te -4.517 6.621 7.135
Te 3.087 5.557 1.064
Te -5.412 10.928 4.657
Te 2.780 -2.291 7.550
Te -0.747 0.854 2.855
Te 3.087 9.310 1.103
Te 6.843 11.587 3.593
Te -0.455 5.580 1.103
Te -3.379 8.298 10.040
Te 3.686 6.404 5.384
Te 7.149 8.268 7.135
Te 5.719 -1.887 11.831
Te 1.578 1.040 7.511
Te -1.885 -0.823 5.759
Te -0.455 9.332 1.064
Te -1.578 -4.142 9.302
Te 8.643 -0.854 2.855
Te 5.719 1.865 11.792
Te 2.177 -1.865 11.792
Te 2.484 9.736 5.345
Te 6.011 6.591 10.040
Te 10.676 -3.483 8.238
Te 9.782 0.823 5.759
Te -2.780 -5.774 12.207
Te 2.177 1.887 11.831
Te 4.517 -1.677 4.281
Te -2.177 0.022 10.728
Te -2.780 3.483 8.238
Te 9.475 -5.182 11.104
Te 6.318 -1.040 7.511
Te -1.578 5.182 11.104
Te -5.719 -0.022 10.728
Te 3.379 1.677 4.281
Te -6.318 4.142 9.302
Te 5.116 2.291 7.550
Te -5.116 5.774 12.207

***

Entry 2:
7
Lattice="5.782 0.000 0.000 0.000 5.782 0.000 -2.891 -2.891 7.859" Properties=species:S:1:pos:R:3 comment="SmTh2Sb2Te2, optimized geometry, DFT GGA-PBE" formation_energy_uncorrected_ev_per_fu=-4.10 total_magnetization_mub_per_cell=0.93 dos_ef_per_ev_atom=0.45 pbc="T T T"
Sm 0.000 0.000 0.000
Th 0.000 0.000 6.107
Th 2.891 2.891 1.752
Sb 0.000 2.891 0.000
Sb 2.891 0.000 0.000
Te 0.000 0.000 3.077
Te 2.891 2.891 4.782

***

Entry 3:
7
Lattice="-4.318 1.655 3.798 1.620 -4.375 3.748 6.255 6.162 -0.288" Properties=species:S:1:pos:R:3 comment="Sm2ThSb2Te2, optimized geometry, DFT GGA-PBE" formation_energy_uncorrected_ev_per_fu=-4.83 total_magnetization_mub_per_cell=0.00 dos_ef_per_ev_atom=0.14 pbc="T T T"
Sm 3.804 3.723 2.702
Sm -0.247 -0.281 4.556
Th 0.000 0.000 0.000
Sb 0.810 -2.187 1.874
Sb -2.159 0.827 1.899
Te 1.952 1.911 1.387
Te 1.605 1.531 5.871

***

Entry 4:
12
Lattice="7.840 -0.004 0.000 -3.921 6.789 0.000 -1.307 -2.264 8.104" Properties=species:S:1:pos:R:3 comment="Sm2Tl3SbTe6, optimized geometry, DFT GGA-PBE" formation_energy_uncorrected_ev_per_fu=-9.38 total_magnetization_mub_per_cell=0.00 pbc="T T T"
Sm 0.005 4.521 0.000
Sm 3.914 2.264 0.000
Tl -2.570 4.499 4.051
Tl 5.182 0.022 4.051
Tl 1.306 2.261 4.051
Sb 0.000 0.000 0.000
Te 3.897 2.300 6.366
Te 2.637 4.565 1.768
Te -1.286 2.221 1.737
Te 0.045 4.525 6.366
Te -0.025 -0.044 6.335
Te 2.567 -0.004 1.737

***

Entry 5:
12
Lattice="-4.180 4.530 4.815 -3.062 -2.333 -6.809 -0.553 -7.265 4.237" Properties=species:S:1:pos:R:3 comment="SmTl3Sb2Te6, optimized geometry, DFT GGA-PBE" formation_energy_uncorrected_ev_per_fu=-6.03 total_magnetization_mub_per_cell=0.00 pbc="T T T"
Sm 0.000 0.000 0.000
Tl -3.521 -4.844 -2.789
Tl -4.274 -0.225 5.033
Tl -3.898 -2.534 1.122
Sb -3.435 -0.044 -2.932
Sb -3.807 2.241 0.938
Te -6.113 -2.866 3.776
Te -5.418 0.063 -0.558
Te -1.682 -2.203 -1.533
Te -5.734 -5.190 -0.159
Te -2.378 -5.132 2.802
Te -2.061 0.121 2.402

***

Entry 6:
16
Lattice="9.053 0.000 0.000 0.000 9.653 0.416 -4.526 -4.524 6.406" Properties=species:S:1:pos:R:3 comment="Sm3Tl4SbTe8, optimized geometry, DFT GGA-PBE" formation_energy_uncorrected_ev_per_fu=-13.64 total_magnetization_mub_per_cell=0.00 dos_ef_per_ev_atom=0.00 pbc="T T T"
Sm 4.526 4.827 0.208
Sm 2.263 2.565 3.411
Sm -2.263 2.565 3.411
Tl 4.526 0.000 0.000
Tl 2.263 -2.262 3.203
Tl 0.000 0.000 0.000
Tl -2.263 -2.262 3.203
Sb 0.000 4.827 0.208
Te -2.292 2.476 6.570
Te 0.000 4.767 3.327
Te 0.000 0.360 3.453
Te 2.292 2.476 6.570
Te 2.235 2.653 0.252
Te 4.526 4.770 3.369
Te 4.526 0.362 3.495
Te 6.818 2.653 0.252